{"formula": "Re3SiMo", "functional": "GGA-PBE", "state": "optimized geometry", "lattice": [[-1.9053, 2.4161, 3.0912], [1.5444, -2.6971, 3.0600], [3.6066, 2.4313, 0.3227]], "species": ["Re", "Re", "Re", "Mo", "Si"], "frac_coords": [[0.0000, 0.5000, 0.0000], [0.0000, 0.0000, 0.5000], [0.5000, 0.0000, 0.0000], [0.5000, 0.5000, 0.5000], [0.0000, 0.0000, 0.0000]], "e_above_lowest_polymorph_mev_per_atom": 0, "final_energy_ev_per_atom": -9.579, "e_form_raw_mev_per_atom": 1141.1, "volume_a3_per_atom": 16.59}